(1)
Below is an optimized crystal structure of VCuPO2, with properties calculated at the PBE with a Hubbard U level.

Computed properties:
total moment = 1.8 μB/f.u.
SG = P4/mmm, No. 123

Structure (CIF):
```
data_VCuPO2
_space_group_name_H-M_alt 'P 1'
_space_group_IT_number 1
_cell_length_a 3.704
_cell_length_b 3.704
_cell_length_c 4.740
_cell_angle_alpha 90.00
_cell_angle_beta 90.00
_cell_angle_gamma 90.00
loop_
_space_group_symop_operation_xyz
'x,y,z'
loop_
_atom_site_label
_atom_site_type_symbol
_atom_site_fract_x
_atom_site_fract_y
_atom_site_fract_z
P1 P 0.000 0.000 0.500
O1 O 0.000 0.500 0.000
O2 O 0.500 0.000 0.000
Cu1 Cu 0.000 0.000 0.000
V1 V 0.500 0.500 0.500
```

(2)
Below is an optimized crystal structure of VCuPO2, with properties calculated at the PBE with a Hubbard U level.

Computed properties:
total moment = 0.2 μB/f.u.
SG = P4/mmm, No. 123

Structure (CIF):
```
data_VCuPO2
_space_group_name_H-M_alt 'P 1'
_space_group_IT_number 1
_cell_length_a 3.611
_cell_length_b 3.611
_cell_length_c 5.255
_cell_angle_alpha 90.00
_cell_angle_beta 90.00
_cell_angle_gamma 90.00
loop_
_space_group_symop_operation_xyz
'x,y,z'
loop_
_atom_site_label
_atom_site_type_symbol
_atom_site_fract_x
_atom_site_fract_y
_atom_site_fract_z
P1 P 0.000 0.000 0.500
O1 O 0.000 0.500 0.000
O2 O 0.500 0.000 0.000
Cu1 Cu 0.500 0.500 0.500
V1 V 0.000 0.000 0.000
```

Most stable one: (2), least stable one: (1).